Ga2CuTc2 | PBE-GGA | relaxed

abc: 6.6876 6.6876 3.4237
angles: 90.00 90.00 90.00
Fractional coordinates of all 10 atoms:
Ga: 0.1684 0.3316 0.0000
Ga: 0.3316 0.8316 0.0000
Ga: 0.6684 0.1684 0.0000
Ga: 0.8316 0.6684 0.0000
Cu: 0.0000 0.0000 0.5000
Cu: 0.5000 0.5000 0.5000
Tc: 0.1325 0.6325 0.5000
Tc: 0.3675 0.1325 0.5000
Tc: 0.6325 0.8675 0.5000
Tc: 0.8675 0.3675 0.5000

For the formation energy, the calculation gives 0.115 eV/atom. Its offset from the most stable computed form is 18.0 meV/atom. The calculated total energy is -6.062 eV per atom.

---

NaCrTc2Ni | PBE-GGA | relaxed

abc: 4.3481 4.3481 4.8391
angles: 90.00 90.00 90.00
Fractional coordinates of all 5 atoms:
Na: 0.0000 0.0000 0.0000
Cr: 0.0000 0.0000 0.5000
Tc: 0.0000 0.5000 0.5000
Tc: 0.5000 0.0000 0.5000
Ni: 0.5000 0.5000 0.0000

For the formation energy, the calculation gives 1.599 eV/atom. The calculated total energy is -5.893 eV per atom.

---

Q: Which value of calculated total energy does entry 1 give?
A: -6.062 eV per atom

---

Q: Which of these has the highest calculated total energy?
A: NaCrTc2Ni